Compound: MgRu2Pb
Source: Alexandria via LeMat-Bulk
Functional: PBE
Structure: relaxed

Cell: 7.399 7.399 5.909 Å, 51.24 51.24 90.00°
Sites, in units of the cell vectors:
Ru: 0.875 0.874 0.750
Ru: 0.375 0.376 0.750
Ru: 0.624 0.125 0.250
Ru: 0.126 0.625 0.250
Mg: 0.500 0.500 0.000
Mg: 0.250 0.750 0.500
Pb: 0.750 0.250 0.500
Pb: 0.000 0.000 0.000

Computed properties:
The theoretical density is 9.58 Mg/m³. The magnetic moment comes out at 0.0 μB per formula unit. For the uncorrected energy, the calculation gives -5.17 eV per atom. For the energy of formation, the calculation gives 3.161 eV/f.u.